Density functional theory data (PBE-GGA) for crystalline TiBW2 at its relaxed geometry.

Output
* magnetic moment: 0.00 μB/atom
* density: 11.69 g cm⁻³
* formation enthalpy at 0 K: 72 kJ/mol of atoms
* calculated total energy: -9.375 eV per atom

abc: 9.4199 9.4199 9.4199
angles: 157.62 157.62 31.86
Sites, in units of the cell vectors:
Ti 0.0000 0.0000 0.0000
Ti 0.7500 0.2500 0.5000
B 0.2500 0.7500 0.5000
B 0.5000 0.5000 0.0000
W 0.1377 0.6250 0.0127
W 0.3750 0.3877 0.5127
W 0.6123 0.1250 0.9873
W 0.8750 0.8623 0.4873